Record 1
# GGA-PBE Ti2CuRu2, relaxed
data_Ti2CuRu2
_chemical_formula_sum 'Ti4 Cu2 Ru4'
_cell_length_a 3.845
_cell_length_b 3.845
_cell_length_c 11.863
_cell_angle_alpha 90.00
_cell_angle_beta 90.00
_cell_angle_gamma 90.00
_space_group_name_H-M_alt 'I 4/m m m'
_space_group_IT_number 139
_space_group_name_Hall '-I 4 2'
loop_
_atom_site_label
_atom_site_fract_x
_atom_site_fract_y
_atom_site_fract_z
_atom_site_occupancy
Ti1 0.000 0.000 0.120 1
Cu1 0.000 0.000 0.500 1
Ru1 0.000 0.500 0.250 1
# E_tot = -73.84 eV per cell
# energy above the most stable polymorph in this dataset = 546 meV/atom
# formation energy from the elements = 0.303 eV per atom



Record 2
# GGA-PBE TiCu4Ru, relaxed
data_TiCu4Ru
_chemical_formula_sum 'Ti4 Cu16 Ru4'
_cell_length_a 6.762
_cell_length_b 6.762
_cell_length_c 6.762
_cell_angle_alpha 90.00
_cell_angle_beta 90.00
_cell_angle_gamma 90.00
_space_group_name_H-M_alt 'F -4 3 m'
_space_group_IT_number 216
_space_group_name_Hall 'F -4 2 3'
loop_
_atom_site_label
_atom_site_fract_x
_atom_site_fract_y
_atom_site_fract_z
_atom_site_occupancy
Ti1 0.000 0.000 0.000 1
Cu1 0.125 0.125 0.625 1
Ru1 0.250 0.250 0.250 1
# E_tot = -134.86 eV per cell
# formation energy from the elements = -0.027 eV per atom



Record 3
# GGA-PBE Ti2Cu2Ru, relaxed
data_Ti2Cu2Ru
_chemical_formula_sum 'Ti4 Cu4 Ru2'
_cell_length_a 6.734
_cell_length_b 6.734
_cell_length_c 3.150
_cell_angle_alpha 90.00
_cell_angle_beta 90.00
_cell_angle_gamma 90.00
_space_group_name_H-M_alt 'P 4/m b m'
_space_group_IT_number 127
_space_group_name_Hall '-P 4 2ab'
loop_
_atom_site_label
_atom_site_fract_x
_atom_site_fract_y
_atom_site_fract_z
_atom_site_occupancy
Ti1 0.183 0.317 0.000 1
Cu1 0.122 0.622 0.500 1
Ru1 0.000 0.000 0.500 1
# E_tot = -67.33 eV per cell
# formation energy from the elements = -0.081 eV per atom



Record 4
# GGA-PBE Ti2CuRu, relaxed
data_Ti2CuRu
_chemical_formula_sum 'Ti8 Cu4 Ru4'
_cell_length_a 6.861
_cell_length_b 6.861
_cell_length_c 5.311
_cell_angle_alpha 90.00
_cell_angle_beta 90.00
_cell_angle_gamma 90.00
_space_group_name_H-M_alt 'I -4 2 d'
_space_group_IT_number 122
_space_group_name_Hall 'I -4 2bw'
loop_
_atom_site_label
_atom_site_fract_x
_atom_site_fract_y
_atom_site_fract_z
_atom_site_occupancy
Ti1 0.238 0.250 0.125 1
Cu1 0.000 0.000 0.500 1
Ru1 0.000 0.000 0.000 1
# E_tot = -115.39 eV per cell
# formation energy from the elements = 0.079 eV per atom



Record 5
# GGA-PBE Ti5CuRu4, relaxed
data_Ti5CuRu4
_chemical_formula_sum 'Ti5 Cu1 Ru4'
_cell_length_a 3.079
_cell_length_b 3.079
_cell_length_c 15.479
_cell_angle_alpha 90.00
_cell_angle_beta 90.00
_cell_angle_gamma 90.00
_space_group_name_H-M_alt 'P 4/m m m'
_space_group_IT_number 123
_space_group_name_Hall '-P 4 2'
loop_
_atom_site_label
_atom_site_fract_x
_atom_site_fract_y
_atom_site_fract_z
_atom_site_occupancy
Ti1 0.000 0.000 0.000 1
Ti2 0.000 0.000 0.200 1
Ti3 0.000 0.000 0.399 1
Cu1 0.500 0.500 0.500 1
Ru1 0.500 0.500 0.100 1
Ru2 0.500 0.500 0.300 1
# E_tot = -86.81 eV per cell
# formation energy from the elements = -0.614 eV per atom



Record 6
# GGA-PBE TiCu2Ru, relaxed
data_TiCu2Ru
_chemical_formula_sum 'Ti4 Cu8 Ru4'
_cell_length_a 6.009
_cell_length_b 6.009
_cell_length_c 6.009
_cell_angle_alpha 90.00
_cell_angle_beta 90.00
_cell_angle_gamma 90.00
_space_group_name_H-M_alt 'F m -3 m'
_space_group_IT_number 225
_space_group_name_Hall '-F 4 2 3'
loop_
_atom_site_label
_atom_site_fract_x
_atom_site_fract_y
_atom_site_fract_z
_atom_site_occupancy
Ti1 0.000 0.000 0.000 1
Cu1 0.250 0.250 0.250 1
Ru1 0.000 0.000 0.500 1
# E_tot = -101.07 eV per cell
# formation energy from the elements = 0.024 eV per atom



Record 7
# GGA-PBE TiCuRu2, relaxed
data_TiCuRu2
_chemical_formula_sum 'Ti1 Cu1 Ru2'
_cell_length_a 3.891
_cell_length_b 3.891
_cell_length_c 3.645
_cell_angle_alpha 90.00
_cell_angle_beta 90.00
_cell_angle_gamma 90.00
_space_group_name_H-M_alt 'P 4/m m m'
_space_group_IT_number 123
_space_group_name_Hall '-P 4 2'
loop_
_atom_site_label
_atom_site_fract_x
_atom_site_fract_y
_atom_site_fract_z
_atom_site_occupancy
Ti1 0.000 0.000 0.000 1
Cu1 0.500 0.500 0.000 1
Ru1 0.000 0.500 0.500 1
# E_tot = -31.29 eV per cell
# formation energy from the elements = -0.187 eV per atom



Record 8
# GGA-PBE Ti2CuRu, relaxed
data_Ti2CuRu
_chemical_formula_sum 'Ti2 Cu1 Ru1'
_cell_length_a 3.082
_cell_length_b 3.082
_cell_length_c 6.168
_cell_angle_alpha 90.00
_cell_angle_beta 90.00
_cell_angle_gamma 90.00
_space_group_name_H-M_alt 'P 4/m m m'
_space_group_IT_number 123
_space_group_name_Hall '-P 4 2'
loop_
_atom_site_label
_atom_site_fract_x
_atom_site_fract_y
_atom_site_fract_z
_atom_site_occupancy
Ti1 0.000 0.000 0.248 1
Cu1 0.500 0.500 0.500 1
Ru1 0.500 0.500 0.000 1
# E_tot = -30.72 eV per cell
# formation energy from the elements = -0.391 eV per atom



Record 9
# GGA-PBE TiCu2Ru, relaxed
data_TiCu2Ru
_chemical_formula_sum 'Ti4 Cu8 Ru4'
_cell_length_a 3.499
_cell_length_b 3.499
_cell_length_c 18.901
_cell_angle_alpha 90.00
_cell_angle_beta 90.00
_cell_angle_gamma 90.00
_space_group_name_H-M_alt 'I -4 2 d'
_space_group_IT_number 122
_space_group_name_Hall 'I -4 2bw'
loop_
_atom_site_label
_atom_site_fract_x
_atom_site_fract_y
_atom_site_fract_z
_atom_site_occupancy
Ti1 0.000 0.000 0.000 1
Cu1 0.241 0.250 0.625 1
Ru1 0.000 0.000 0.500 1
# E_tot = -99.12 eV per cell
# formation energy from the elements = 0.146 eV per atom



Record 10
# GGA-PBE TiTlCuRu2, relaxed
data_TiTlCuRu2
_chemical_formula_sum 'Ti1 Tl1 Cu1 Ru2'
_cell_length_a 4.579
_cell_length_b 4.579
_cell_length_c 4.555
_cell_angle_alpha 90.00
_cell_angle_beta 90.00
_cell_angle_gamma 90.00
_space_group_name_H-M_alt 'P 4/m m m'
_space_group_IT_number 123
_space_group_name_Hall '-P 4 2'
loop_
_atom_site_label
_atom_site_fract_x
_atom_site_fract_y
_atom_site_fract_z
_atom_site_occupancy
Ti1 0.000 0.000 0.000 1
Tl1 0.500 0.500 0.000 1
Cu1 0.500 0.500 0.500 1
Ru1 0.000 0.500 0.500 1
# E_tot = -26.76 eV per cell
# formation energy from the elements = 1.230 eV per atom



Record 11
# GGA-PBE TiVCuRu, relaxed
data_TiVCuRu
_chemical_formula_sum 'Ti4 V4 Cu4 Ru4'
_cell_length_a 6.071
_cell_length_b 6.071
_cell_length_c 6.071
_cell_angle_alpha 90.00
_cell_angle_beta 90.00
_cell_angle_gamma 90.00
_space_group_name_H-M_alt 'F -4 3 m'
_space_group_IT_number 216
_space_group_name_Hall 'F -4 2 3'
loop_
_atom_site_label
_atom_site_fract_x
_atom_site_fract_y
_atom_site_fract_z
_atom_site_occupancy
Ti1 0.000 0.000 0.000 1
V1 0.000 0.000 0.500 1
Cu1 0.250 0.250 0.750 1
Ru1 0.250 0.250 0.250 1
# E_tot = -124.27 eV per cell
# formation energy from the elements = -0.170 eV per atom



Record 12
# GGA-PBE TiCuRu2W, relaxed
data_TiCuRu2W
_chemical_formula_sum 'Ti1 Cu1 Ru2 W1'
_cell_length_a 4.614
_cell_length_b 4.614
_cell_length_c 4.655
_cell_angle_alpha 90.00
_cell_angle_beta 90.00
_cell_angle_gamma 90.00
_space_group_name_H-M_alt 'P 4/m m m'
_space_group_IT_number 123
_space_group_name_Hall '-P 4 2'
loop_
_atom_site_label
_atom_site_fract_x
_atom_site_fract_y
_atom_site_fract_z
_atom_site_occupancy
Ti1 0.000 0.000 0.000 1
Cu1 0.500 0.500 0.000 1
Ru1 0.000 0.500 0.500 1
W1 0.500 0.500 0.500 1
# E_tot = -36.63 eV per cell
# formation energy from the elements = 1.373 eV per atom



Record 13
# GGA-PBE TiZnCuRu2, relaxed
data_TiZnCuRu2
_chemical_formula_sum 'Ti1 Zn1 Cu1 Ru2'
_cell_length_a 4.486
_cell_length_b 4.486
_cell_length_c 4.548
_cell_angle_alpha 90.00
_cell_angle_beta 90.00
_cell_angle_gamma 90.00
_space_group_name_H-M_alt 'P 4/m m m'
_space_group_IT_number 123
_space_group_name_Hall '-P 4 2'
loop_
_atom_site_label
_atom_site_fract_x
_atom_site_fract_y
_atom_site_fract_z
_atom_site_occupancy
Ti1 0.000 0.000 0.000 1
Zn1 0.500 0.500 0.500 1
Cu1 0.000 0.000 0.500 1
Ru1 0.000 0.500 0.000 1
# E_tot = -26.68 eV per cell
# energy above the most stable polymorph in this dataset = 0 meV/atom
# formation energy from the elements = 1.027 eV per atom



Record 14
# GGA-PBE TiZnCuRu2, relaxed
data_TiZnCuRu2
_chemical_formula_sum 'Ti1 Zn1 Cu1 Ru2'
_cell_length_a 4.457
_cell_length_b 4.457
_cell_length_c 4.791
_cell_angle_alpha 90.00
_cell_angle_beta 90.00
_cell_angle_gamma 90.00
_space_group_name_H-M_alt 'P 4/m m m'
_space_group_IT_number 123
_space_group_name_Hall '-P 4 2'
loop_
_atom_site_label
_atom_site_fract_x
_atom_site_fract_y
_atom_site_fract_z
_atom_site_occupancy
Ti1 0.000 0.000 0.000 1
Zn1 0.000 0.000 0.500 1
Cu1 0.500 0.500 0.500 1
Ru1 0.000 0.500 0.000 1
# E_tot = -26.02 eV per cell
# energy above the most stable polymorph in this dataset = 132 meV/atom
# formation energy from the elements = 1.160 eV per atom